The following is a DFT calculation (SCAN) of Co4Pt at its PBEsol-relaxed geometry.

Cell: 4.690 4.690 4.690 Å, 109.47 109.47 109.47°
Positions (direct):
Co 0.000 0.500 0.000
Co 0.500 0.000 0.000
Co 0.000 0.000 0.500
Co 0.500 0.500 0.500
Pt 0.000 0.000 0.000

Computed properties:
Electronic total energy ... -135.8 eV for the cell shown
Polymorph energy (0 for the lowest one) ... 0.778 eV per atom
Density ... 9.01 g/cm³


The following is a DFT calculation (SCAN) of Co5Pt at its PBEsol-relaxed geometry.

Cell: 2.560 4.046 6.651 Å, 90.00 101.09 90.00°
Positions (direct):
Co 0.784 0.500 0.567
Co 0.439 0.500 0.879
Co 0.673 0.000 0.346
Co 0.993 0.000 0.986
Co 0.333 0.000 0.667
Pt 0.111 0.500 0.222

Computed properties:
Electronic total energy ... -156.8 eV for the cell shown
Density ... 12.03 g/cm³


What is the formula in the first record? Co4Pt